# 1
VASP calculation (PBE) on TiTe4Pd2 after structural relaxation.

a = 8.072 Å, b = 8.084 Å, c = 11.473 Å
α = 90.00°, β = 90.00°, γ = 90.00°
Space group Imma (No. 74)
Symmetry-distinct sites (fractional):
Ti  0.000  0.250  0.126
Te  0.000  0.018  0.740
Te  0.233  0.250  0.510
Pd  0.000  0.000  0.500
Pd  0.250  0.250  0.750

## Properties
Relative energy among the computed polymorphs (meV per atom): 0
Total moment (μB/f.u.): 0.0
Energy relative to the elements, uncorrected (eV/atom): -0.3049

***

# 2
VASP calculation (PBE) on CsTl2Au2 after structural relaxation.

a = 12.815 Å, b = 4.800 Å, c = 5.591 Å
α = 90.00°, β = 106.29°, γ = 90.00°
Space group C2/m (No. 12)
Symmetry-distinct sites (fractional):
Cs  0.000  0.000  0.000
Tl  0.149  0.500  0.578
Au  0.244  0.500  0.146

## Properties
Relative energy among the computed polymorphs (meV per atom): 0
ΔE_f (meV/atom): -188
Total moment (μB/f.u.): 0.0

***

# 3
VASP calculation (PBE) on Tm2HfTl2S6 after structural relaxation.

a = 6.702 Å, b = 11.563 Å, c = 7.942 Å
α = 90.00°, β = 106.67°, γ = 90.00°
Space group C2/m (No. 12)
Symmetry-distinct sites (fractional):
Tm  0.000  0.167  0.000
Hf  0.000  0.500  0.000
Tl  0.000  0.331  0.500
S  0.224  0.341  0.191
S  0.249  0.000  0.192

## Properties
Total moment (μB/f.u.): 0.0
Energy relative to the elements, uncorrected (eV/atom): -1.5263

***

# 4
VASP calculation (PBE) on Li2MgCu3 after structural relaxation.

a = 8.274 Å, b = 8.705 Å, c = 4.952 Å
α = 90.00°, β = 90.00°, γ = 90.00°
Space group Imma (No. 74)
Symmetry-distinct sites (fractional):
Li  0.000  0.083  0.248
Mg  0.000  0.250  0.748
Cu  0.249  0.000  0.500
Cu  0.250  0.250  0.250

## Properties
ΔE_f (meV/atom): 30
Total moment (μB/f.u.): 0.0

***

# 5
VASP calculation (PBE) on La2NiGePt6 after structural relaxation.

a = 12.052 Å, b = 5.473 Å, c = 8.449 Å
α = 90.00°, β = 133.13°, γ = 90.00°
Space group C2/m (No. 12)
Symmetry-distinct sites (fractional):
La  0.238  0.000  0.201
Ni  0.000  0.500  0.000
Ge  0.000  0.000  0.500
Pt  0.003  0.254  0.749
Pt  0.247  0.500  0.391

## Properties
ΔE_f (meV/atom): -783
Total moment (μB/f.u.): 0.0

***

# 6
VASP calculation (PBE) on InGaHg2 after structural relaxation.

a = 4.621 Å, b = 4.621 Å, c = 4.595 Å
α = 90.00°, β = 90.00°, γ = 90.00°
Space group P4/mmm (No. 123)
Symmetry-distinct sites (fractional):
In  0.000  0.000  0.000
Ga  0.500  0.500  0.000
Hg  0.000  0.500  0.500

## Properties
ΔE_f (meV/atom): 45
Total moment (μB/f.u.): 0.0

***

# 7
VASP calculation (PBE) on Co2Cl after structural relaxation.

a = 2.9438 Å, b = 2.9438 Å, c = 5.5138 Å
α = 90.00°, β = 90.00°, γ = 120.00°
Space group P-3m1 (No. 164)
Symmetry-distinct sites (fractional):
Co  0.3333  0.6667  0.3477
Cl  0.0000  0.0000  0.0000

## Properties
Relative energy among the computed polymorphs (meV per atom): 447
Total moment (μB/f.u.): 3.9
Energy relative to the elements, uncorrected (eV/atom): 0.3389

***

# 8
VASP calculation (PBE) on LaV3Ga after structural relaxation.

a = 4.575 Å, b = 4.575 Å, c = 4.575 Å
α = 90.00°, β = 90.00°, γ = 90.00°
Space group Pm-3m (No. 221)
Symmetry-distinct sites (fractional):
La  0.000  0.000  0.000
V  0.000  0.000  0.500
Ga  0.500  0.500  0.500

## Properties
Relative energy among the computed polymorphs (meV per atom): 848
ΔE_f (meV/atom): 1642
Total moment (μB/f.u.): 0.0

***

| no. | raw total energy (eV per atom) | Fermi-level density of states (states/eV/cell) |
| --- | --- | --- |
| 1 | -4.7117 | 20.8 |
| 2 | -2.6166 | 4.8 |
| 3 | -5.9258 | 0.0 |
| 4 | -2.9218 | 10.1 |
| 5 | -6.4333 | 9.7 |
| 6 | -1.5469 | 1.2 |
| 7 | -5.0139 | 3.7 |
| 8 | -5.4196 | 6.9 |